Entry from the Alexandria database: an optimized crystal structure of Zr2CdTcC (PBE).

a b c (Å): 4.532 4.532 4.307
angles (deg): 90.00 90.00 90.00
Atoms (fractional coordinates):
Zr1 0.000 0.500 0.000
Zr2 0.500 0.000 0.000
Cd1 0.000 0.000 0.500
Tc1 0.500 0.500 0.500
C1 0.000 0.000 0.000

Computed properties:
Formation enthalpy at 0 K in meV per atom: 214
Total energy in eV/atom: -7.31
Fermi-level density of states in states/eV/cell: 3.98
Polymorph energy (0 for the lowest one) in meV/atom: 528